The following is a PBE calculation of a relaxed structure of NaFeSi2, from Alexandria via LeMat-Bulk.

**DFT total energy**: -4.8102 eV per atom
**ρ**: 4.23 g/cm3
**Crystal system**: cubic

Unit cell a=4.217 b=4.217 c=4.217 alpha=60.00 beta=60.00 gamma=60.00
Atoms (fractional coordinates):
Na: 0.000 0.000 0.000
Fe: 0.500 0.500 0.500
Si: 0.250 0.250 0.250
Si: 0.750 0.750 0.750

=====

The following is a PBE calculation of a relaxed structure of NaFeSi2, from Alexandria via LeMat-Bulk.

**DFT total energy**: -4.9469 eV per atom
**ρ**: 2.41 g/cm3
**Crystal system**: tetragonal

Unit cell a=7.695 b=7.695 c=7.695 alpha=140.08 beta=140.08 gamma=57.73
Atoms (fractional coordinates):
Na: 0.375 0.625 0.750
Na: 0.625 0.375 0.250
Fe: 0.125 0.875 0.250
Fe: 0.875 0.125 0.750
Si: 0.000 0.000 0.000
Si: 0.000 0.000 0.500
Si: 0.000 0.500 0.000
Si: 0.500 0.000 0.500